(1)
TaFe2Mo: optimized geometry, GGA-PBE.

The value obtained for the raw total energy is -9.88 eV per atom. As for the formation energy from the elements: 0.023 eV/atom.

Cell: 4.2523 4.2523 3.0977 Å, 90.00 90.00 90.00°
Fractional coordinates of all 4 atoms:
Ta 0.0000 0.0000 0.0000
Fe 0.0000 0.5000 0.5000
Fe 0.5000 0.0000 0.5000
Mo 0.5000 0.5000 0.0000


(2)
TaFeMo: optimized geometry, GGA-PBE.

The value obtained for the raw total energy is -10.29 eV per atom. As for the formation energy from the elements: 0.094 eV/atom. The excess energy over the best structure of this formula in the dataset is 209.4 meV/atom.

Cell: 6.0738 6.0250 2.8026 Å, 77.58 75.64 26.78°
Fractional coordinates of all 3 atoms:
Ta 0.0000 0.0000 0.0000
Fe 0.6545 0.6545 0.3455
Mo 0.2983 0.2983 0.7017


(3)
TaFe2Mo: optimized geometry, GGA-PBE.

The value obtained for the raw total energy is -9.80 eV per atom. As for the formation energy from the elements: 0.105 eV/atom.

Cell: 4.3072 4.3072 4.3072 Å, 60.00 60.00 60.00°
Fractional coordinates of all 4 atoms:
Ta 0.0000 0.0000 0.0000
Fe 0.5000 0.5000 0.5000
Fe 0.7500 0.7500 0.7500
Mo 0.2500 0.2500 0.2500


(4)
TaFe8Mo3: optimized geometry, GGA-PBE.

The value obtained for the raw total energy is -9.40 eV per atom. As for the formation energy from the elements: -0.059 eV/atom.

Cell: 4.6981 4.6981 7.8122 Å, 90.00 90.00 120.00°
Fractional coordinates of all 12 atoms:
Ta 0.0000 0.0000 0.0000
Fe 0.1629 0.3259 0.6825
Fe 0.1629 0.8371 0.6825
Fe 0.3333 0.6667 0.4329
Fe 0.3333 0.6667 0.9337
Fe 0.5042 0.0084 0.1842
Fe 0.5042 0.4958 0.1842
Fe 0.6741 0.8371 0.6825
Fe 0.9916 0.4958 0.1842
Mo 0.0000 0.0000 0.3671
Mo 0.6667 0.3333 0.5010
Mo 0.6667 0.3333 0.8569


(5)
TaFe2Mo: optimized geometry, GGA-PBE.

The value obtained for the raw total energy is -9.59 eV per atom. As for the formation energy from the elements: 0.311 eV/atom.

Cell: 8.5724 8.5724 8.5724 Å, 18.96 18.96 18.96°
Fractional coordinates of all 4 atoms:
Ta 0.0000 0.0000 0.0000
Fe 0.2477 0.2477 0.2477
Fe 0.7523 0.7523 0.7523
Mo 0.5000 0.5000 0.5000


(6)
TaFe2Mo: optimized geometry, GGA-PBE.

The value obtained for the raw total energy is -9.84 eV per atom. As for the formation energy from the elements: 0.061 eV/atom.

Cell: 4.9463 4.9463 2.6895 Å, 99.00 99.00 115.05°
Fractional coordinates of all 4 atoms:
Ta 0.0000 0.0000 0.0000
Fe 0.0000 0.5000 0.5000
Fe 0.5000 0.0000 0.5000
Mo 0.5000 0.5000 0.0000


(7)
TaFe2Mo: optimized geometry, GGA-PBE.

The value obtained for the raw total energy is -9.91 eV per atom. As for the formation energy from the elements: -0.006 eV/atom.

Cell: 3.0877 3.0877 5.9816 Å, 90.00 90.00 90.00°
Fractional coordinates of all 4 atoms:
Ta 0.0000 0.0000 0.0000
Fe 0.0000 0.0000 0.4722
Fe 0.5000 0.5000 0.2402
Mo 0.5000 0.5000 0.7038


(8)
TaFeMo: optimized geometry, GGA-PBE.

The value obtained for the raw total energy is -10.26 eV per atom. As for the formation energy from the elements: 0.121 eV/atom. The excess energy over the best structure of this formula in the dataset is 236.3 meV/atom.

Cell: 4.4477 4.4477 2.6756 Å, 90.00 90.00 120.00°
Fractional coordinates of all 3 atoms:
Ta 0.0000 0.0000 0.0000
Fe 0.6667 0.3333 0.3297
Mo 0.3333 0.6667 0.6393


(9)
TaFe2Mo: optimized geometry, GGA-PBE.

The value obtained for the raw total energy is -9.84 eV per atom. As for the formation energy from the elements: 0.064 eV/atom.

Cell: 2.6609 4.3207 5.0203 Å, 90.00 98.82 90.00°
Fractional coordinates of all 4 atoms:
Ta 0.0000 0.0000 0.0000
Fe 0.5142 0.0000 0.4865
Fe 0.7192 0.5000 0.2322
Mo 0.2494 0.5000 0.7095


(10)
TaFe2Mo: optimized geometry, GGA-PBE.

The value obtained for the raw total energy is -9.61 eV per atom. As for the formation energy from the elements: 0.292 eV/atom.

Cell: 8.8620 8.8620 8.8620 Å, 18.10 18.10 18.10°
Fractional coordinates of all 4 atoms:
Ta 0.0000 0.0000 0.0000
Fe 0.4891 0.4891 0.4891
Fe 0.7520 0.7520 0.7520
Mo 0.2365 0.2365 0.2365


(11)
TaFeMo: optimized geometry, GGA-PBE.

The value obtained for the raw total energy is -9.96 eV per atom. As for the formation energy from the elements: 0.421 eV/atom. The excess energy over the best structure of this formula in the dataset is 536.2 meV/atom.

Cell: 4.1369 4.1369 4.1369 Å, 60.00 60.00 60.00°
Fractional coordinates of all 3 atoms:
Ta 0.0000 0.0000 0.0000
Fe 0.2500 0.2500 0.2500
Mo 0.5000 0.5000 0.5000


(12)
TaFe2Mo: optimized geometry, GGA-PBE.

The value obtained for the raw total energy is -9.85 eV per atom. As for the formation energy from the elements: 0.054 eV/atom.

Cell: 5.0671 5.0671 4.3466 Å, 115.27 115.27 34.77°
Fractional coordinates of all 4 atoms:
Ta 0.0000 0.0000 0.0000
Fe 0.4924 0.4924 0.4924
Fe 0.7548 0.7548 0.2547
Mo 0.2385 0.2385 0.7380


(13)
TaFe2Mo: optimized geometry, GGA-PBE.

The value obtained for the raw total energy is -9.87 eV per atom. As for the formation energy from the elements: 0.034 eV/atom.

Cell: 3.1787 4.1834 4.2870 Å, 90.00 90.00 90.00°
Fractional coordinates of all 4 atoms:
Ta 0.0000 0.0000 0.0000
Fe 0.0000 0.5000 0.5000
Fe 0.5000 0.5000 0.0000
Mo 0.5000 0.0000 0.5000


(14)
TaFeMo3: optimized geometry, GGA-PBE.

The value obtained for the raw total energy is -8.25 eV per atom. As for the formation energy from the elements: 2.310 eV/atom. The excess energy over the best structure of this formula in the dataset is 1302.9 meV/atom.

Cell: 4.7011 4.7011 4.7011 Å, 90.00 90.00 90.00°
Fractional coordinates of all 5 atoms:
Ta 0.0000 0.0000 0.0000
Fe 0.5000 0.5000 0.5000
Mo 0.0000 0.0000 0.5000
Mo 0.0000 0.5000 0.0000
Mo 0.5000 0.0000 0.0000


(15)
Ta4FeMo3: optimized geometry, GGA-PBE.

The value obtained for the raw total energy is -11.23 eV per atom. As for the formation energy from the elements: -0.180 eV/atom.

Cell: 3.2002 4.5199 9.0184 Å, 90.00 90.00 90.00°
Fractional coordinates of all 8 atoms:
Ta 0.0000 0.0000 0.0000
Ta 0.0000 0.0000 0.5000
Ta 0.0000 0.5000 0.2424
Ta 0.0000 0.5000 0.7576
Fe 0.5000 0.5000 0.0000
Mo 0.5000 0.0000 0.2441
Mo 0.5000 0.0000 0.7559
Mo 0.5000 0.5000 0.5000


(16)
TaFe3Mo: optimized geometry, GGA-PBE.

The value obtained for the raw total energy is -8.19 eV per atom. As for the formation energy from the elements: 1.426 eV/atom. The excess energy over the best structure of this formula in the dataset is 0.0 meV/atom.

Cell: 4.3482 4.3482 4.3482 Å, 90.00 90.00 90.00°
Fractional coordinates of all 5 atoms:
Ta 0.0000 0.0000 0.0000
Fe 0.0000 0.5000 0.5000
Fe 0.5000 0.0000 0.5000
Fe 0.5000 0.5000 0.0000
Mo 0.5000 0.5000 0.5000


(17)
TaFeMo: optimized geometry, GGA-PBE.

The value obtained for the raw total energy is -10.50 eV per atom. As for the formation energy from the elements: -0.115 eV/atom. The excess energy over the best structure of this formula in the dataset is 0.0 meV/atom.

Cell: 3.1490 3.1490 9.1750 Å, 90.00 90.00 90.00°
Fractional coordinates of all 6 atoms:
Ta 0.2500 0.2500 0.2301
Ta 0.7500 0.7500 0.7699
Fe 0.2500 0.2500 0.9258
Fe 0.7500 0.7500 0.0742
Mo 0.2500 0.2500 0.5835
Mo 0.7500 0.7500 0.4165


(18)
Ta3Fe2Mo: optimized geometry, GGA-PBE.

The value obtained for the raw total energy is -10.70 eV per atom. As for the formation energy from the elements: -0.146 eV/atom.

Cell: 3.1492 3.1492 9.2402 Å, 90.00 90.00 90.00°
Fractional coordinates of all 6 atoms:
Ta 0.0000 0.0000 0.0000
Ta 0.0000 0.0000 0.3267
Ta 0.0000 0.0000 0.6733
Fe 0.5000 0.5000 0.1590
Fe 0.5000 0.5000 0.8410
Mo 0.5000 0.5000 0.5000


(19)
TaFe2Mo: optimized geometry, GGA-PBE.

The value obtained for the raw total energy is -9.35 eV per atom. As for the formation energy from the elements: 0.554 eV/atom.

Cell: 5.4422 5.4422 5.4422 Å, 103.44 103.44 122.36°
Fractional coordinates of all 8 atoms:
Ta 0.0000 0.0000 0.0000
Ta 0.7500 0.2500 0.5000
Fe 0.1345 0.6250 0.0095
Fe 0.3750 0.3845 0.5095
Fe 0.6155 0.1250 0.9905
Fe 0.8750 0.8655 0.4905
Mo 0.2500 0.7500 0.5000
Mo 0.5000 0.5000 0.0000


(20)
Ta6FeMo5: optimized geometry, GGA-PBE.

The value obtained for the raw total energy is -11.34 eV per atom. As for the formation energy from the elements: -0.191 eV/atom.

Cell: 7.8679 7.8679 4.5268 Å, 106.65 106.65 48.07°
Fractional coordinates of all 12 atoms:
Ta 0.0835 0.5865 0.3352
Ta 0.2467 0.7533 0.0000
Ta 0.4135 0.9165 0.6648
Ta 0.5865 0.0835 0.3352
Ta 0.7533 0.2467 0.0000
Ta 0.9165 0.4135 0.6648
Fe 0.0000 0.0000 0.5000
Mo 0.1649 0.1649 0.1646
Mo 0.3333 0.3333 0.8335
Mo 0.5000 0.5000 0.5000
Mo 0.6667 0.6667 0.1665
Mo 0.8351 0.8351 0.8354


(21)
TaFe2Mo: optimized geometry, GGA-PBE.

The value obtained for the raw total energy is -9.84 eV per atom. As for the formation energy from the elements: 0.062 eV/atom.

Cell: 2.6868 4.1493 5.2402 Å, 90.00 102.64 90.00°
Fractional coordinates of all 4 atoms:
Ta 0.0000 0.0000 0.0000
Fe 0.2539 0.5000 0.7443
Fe 0.7461 0.5000 0.2557
Mo 0.5000 0.0000 0.5000


(22)
TaFe2Mo: optimized geometry, GGA-PBE.

The value obtained for the raw total energy is -9.81 eV per atom. As for the formation energy from the elements: 0.094 eV/atom.

Cell: 2.6854 2.6854 8.2326 Å, 90.00 90.00 106.43°
Fractional coordinates of all 4 atoms:
Ta 0.0000 0.0000 0.0000
Fe 0.5000 0.5000 0.2547
Fe 0.5000 0.5000 0.7453
Mo 0.0000 0.0000 0.5000


(23)
TaFeTcMo: optimized geometry, GGA-PBE.

The value obtained for the raw total energy is -10.44 eV per atom. As for the formation energy from the elements: -0.059 eV/atom.

Cell: 4.3978 4.3978 4.3978 Å, 60.00 60.00 60.00°
Fractional coordinates of all 4 atoms:
Ta 0.0000 0.0000 0.0000
Fe 0.7500 0.7500 0.7500
Tc 0.2500 0.2500 0.2500
Mo 0.5000 0.5000 0.5000


(24)
TaTiFeMo: optimized geometry, GGA-PBE.

The value obtained for the raw total energy is -9.97 eV per atom. As for the formation energy from the elements: -0.208 eV/atom. The excess energy over the best structure of this formula in the dataset is 0.0 meV/atom.

Cell: 4.3957 4.3957 4.3957 Å, 60.00 60.00 60.00°
Fractional coordinates of all 4 atoms:
Ta 0.0000 0.0000 0.0000
Ti 0.5000 0.5000 0.5000
Fe 0.2500 0.2500 0.2500
Mo 0.7500 0.7500 0.7500


(25)
Ta2Ti5Fe2Mo: optimized geometry, GGA-PBE.

The value obtained for the raw total energy is -9.14 eV per atom. As for the formation energy from the elements: -0.046 eV/atom.

Cell: 10.0326 10.0326 3.1386 Å, 90.00 90.00 90.00°
Fractional coordinates of all 20 atoms:
Ta 0.1800 0.3200 0.0000
Ta 0.3200 0.8200 0.0000
Ta 0.6800 0.1800 0.0000
Ta 0.8200 0.6800 0.0000
Ti 0.0000 0.5000 0.5000
Ti 0.0575 0.7954 0.5000
Ti 0.2046 0.0575 0.5000
Ti 0.2954 0.5575 0.5000
Ti 0.4425 0.2954 0.5000
Ti 0.5000 0.0000 0.5000
Ti 0.5575 0.7046 0.5000
Ti 0.7046 0.4425 0.5000
Ti 0.7954 0.9425 0.5000
Ti 0.9425 0.2046 0.5000
Fe 0.1259 0.6259 0.0000
Fe 0.3741 0.1259 0.0000
Fe 0.6259 0.8741 0.0000
Fe 0.8741 0.3741 0.0000
Mo 0.0000 0.0000 0.0000
Mo 0.5000 0.5000 0.0000


(26)
TaTiFeMo: optimized geometry, GGA-PBE.

The value obtained for the raw total energy is -9.95 eV per atom. As for the formation energy from the elements: -0.188 eV/atom. The excess energy over the best structure of this formula in the dataset is 19.7 meV/atom.

Cell: 3.1140 3.1140 6.2267 Å, 90.00 90.00 90.00°
Fractional coordinates of all 4 atoms:
Ta 0.0000 0.0000 0.0000
Ti 0.0000 0.0000 0.4832
Fe 0.5000 0.5000 0.2396
Mo 0.5000 0.5000 0.7347


(27)
TaVFeMo: optimized geometry, GGA-PBE.

The value obtained for the raw total energy is -10.18 eV per atom. As for the formation energy from the elements: -0.114 eV/atom.

Cell: 4.3341 4.3341 4.3341 Å, 60.00 60.00 60.00°
Fractional coordinates of all 4 atoms:
Ta 0.0000 0.0000 0.0000
V 0.5000 0.5000 0.5000
Fe 0.2500 0.2500 0.2500
Mo 0.7500 0.7500 0.7500


(28)
ZrTaFeMo: optimized geometry, GGA-PBE.

The value obtained for the raw total energy is -10.02 eV per atom. As for the formation energy from the elements: -0.100 eV/atom.

Cell: 4.5295 4.5295 4.5295 Å, 60.00 60.00 60.00°
Fractional coordinates of all 4 atoms:
Zr 0.0000 0.0000 0.0000
Ta 0.5000 0.5000 0.5000
Fe 0.2500 0.2500 0.2500
Mo 0.7500 0.7500 0.7500


Calculated M_tot, 2.87; 0.00; 3.24; 3.84; 3.52; 3.58; 3.24; 1.93; 3.87; 4.19; 0.00; 3.50; 3.56; 0.13; 0.29; 3.32; 3.32; 1.36; 6.17; 0.00; 3.49; 3.41; 1.73; 0.22; 0.00; 0.00; 0.00; 0.36 μB per cell (same order as the records).